1.
Computed, not measured: a relaxed PmErPd3 crystal at the GGA-PBE level of DFT.

Properties
- ΔH_f (0 K): -0.7960 eV/atom

Lattice parameters (Å, degrees): 8.0072 5.6313 10.4513 90.00 117.07 90.00
With the nearest neighbours (Å) after each atom.
Element x y z (fractional)
1 Pm 0.1510 0.2449 0.0411  8 Pd 2.94-3.18
2 Pm 0.1510 0.2551 0.5411  8 Pd 2.94-3.18
3 Pm 0.8490 0.7449 0.4589  8 Pd 2.94-3.18
4 Pm 0.8490 0.7551 0.9589  8 Pd 2.94-3.18
5 Er 0.3664 0.6848 0.3108  5 Pd 2.74-2.94
6 Er 0.3664 0.8152 0.8108  5 Pd 2.74-2.94
7 Er 0.6336 0.1848 0.1892  5 Pd 2.74-2.94
8 Er 0.6336 0.3152 0.6892  5 Pd 2.74-2.94
9 Pd 0.0039 0.0311 0.7509  6 Pd 2.82-3.05, 1 Er 2.94, 1 Pm 2.96
10 Pd 0.0039 0.4689 0.2509  6 Pd 2.82-3.05, 1 Er 2.94, 1 Pm 2.96
11 Pd 0.2502 0.7497 0.0178  2 Er 2.74-2.79, 3 Pd 2.77-3.03, 3 Pm 2.94-2.99
12 Pd 0.2502 0.7503 0.5178  2 Er 2.74-2.79, 3 Pd 2.77-3.03, 3 Pm 2.94-2.99
13 Pd 0.3655 0.1814 0.3640  3 Pd 2.77-3.05, 2 Er 2.85-2.89, 2 Pm 3.03-3.07
14 Pd 0.3655 0.3186 0.8640  3 Pd 2.77-3.05, 2 Er 2.85-2.89, 2 Pm 3.03-3.07
15 Pd 0.6345 0.6814 0.1360  3 Pd 2.77-3.05, 2 Er 2.85-2.89, 2 Pm 3.03-3.07
16 Pd 0.6345 0.8186 0.6360  3 Pd 2.77-3.05, 2 Er 2.85-2.89, 2 Pm 3.03-3.07
17 Pd 0.7498 0.2497 0.4822  2 Er 2.74-2.79, 3 Pd 2.77-3.03, 3 Pm 2.94-2.99
18 Pd 0.7498 0.2503 0.9822  2 Er 2.74-2.79, 3 Pd 2.77-3.03, 3 Pm 2.94-2.99
19 Pd 0.9961 0.5311 0.7491  6 Pd 2.82-3.05, 1 Er 2.94, 1 Pm 2.96
20 Pd 0.9961 0.9689 0.2491  6 Pd 2.82-3.05, 1 Er 2.94, 1 Pm 2.96



2.
Computed, not measured: a relaxed Na2S2I crystal at the GGA-PBE level of DFT.

Properties
- Formation energy (no corrections): -426 meV/atom

Lattice parameters (Å, degrees): 9.2970 9.2970 7.5841 90.00 90.00 157.41
With the nearest neighbours (Å) after each atom.
Element x y z (fractional)
1 Na 0.0407 0.9593 0.5000  5 S 2.83-3.10
2 Na 0.1947 0.8053 0.2322  5 S 2.87-3.07
3 Na 0.8053 0.1947 0.7322  5 S 2.87-3.07
4 Na 0.9593 0.0407 0.0000  5 S 2.83-3.10
5 S 0.1892 0.8108 0.6100  4 Na 2.83-2.94, 2 I 2.96
6 S 0.4387 0.5613 0.6733  1 I 2.54
7 S 0.5613 0.4387 0.1733  1 I 2.54
8 S 0.8108 0.1892 0.1100  4 Na 2.83-2.94, 2 I 2.96
9 I 0.3737 0.6263 0.3778  1 S 2.54
10 I 0.6263 0.3737 0.8778  1 S 2.54



3.
Computed, not measured: a relaxed SrPu2Rh crystal at the GGA-PBE level of DFT.

Properties
- ΔH_f (0 K): -0.0184 eV/atom

Lattice parameters (Å, degrees): 4.0055 4.0055 28.4769 90.00 90.00 120.00
With the nearest neighbours (Å) after each atom.
Element x y z (fractional)
1 Sr 0.0000 0.0000 0.0000  6 Pu 3.96, 6 Sr 4.01
2 Sr 0.3333 0.6667 0.6667  6 Pu 3.96, 6 Sr 4.01
3 Sr 0.6667 0.3333 0.3333  6 Pu 3.96, 6 Sr 4.01
4 Pu 0.0000 0.0000 0.2204  3 Rh 2.77
5 Pu 0.0000 0.0000 0.7796  3 Rh 2.77
6 Pu 0.3333 0.6667 0.4463  3 Rh 2.77
7 Pu 0.3333 0.6667 0.8870  3 Rh 2.77
8 Pu 0.6667 0.3333 0.1130  3 Rh 2.77
9 Pu 0.6667 0.3333 0.5537  3 Rh 2.77
10 Rh 0.0000 0.0000 0.5000  6 Pu 2.77
11 Rh 0.3333 0.6667 0.1667  6 Pu 2.77
12 Rh 0.6667 0.3333 0.8333  6 Pu 2.77



Please write out number 1 again, unchanged.
Computed, not measured: a relaxed PmErPd3 crystal at the GGA-PBE level of DFT.

Properties
- ΔH_f (0 K): -0.7960 eV/atom

Lattice parameters (Å, degrees): 8.0072 5.6313 10.4513 90.00 117.07 90.00
With the nearest neighbours (Å) after each atom.
Element x y z (fractional)
1 Pm 0.1510 0.2449 0.0411  8 Pd 2.94-3.18
2 Pm 0.1510 0.2551 0.5411  8 Pd 2.94-3.18
3 Pm 0.8490 0.7449 0.4589  8 Pd 2.94-3.18
4 Pm 0.8490 0.7551 0.9589  8 Pd 2.94-3.18
5 Er 0.3664 0.6848 0.3108  5 Pd 2.74-2.94
6 Er 0.3664 0.8152 0.8108  5 Pd 2.74-2.94
7 Er 0.6336 0.1848 0.1892  5 Pd 2.74-2.94
8 Er 0.6336 0.3152 0.6892  5 Pd 2.74-2.94
9 Pd 0.0039 0.0311 0.7509  6 Pd 2.82-3.05, 1 Er 2.94, 1 Pm 2.96
10 Pd 0.0039 0.4689 0.2509  6 Pd 2.82-3.05, 1 Er 2.94, 1 Pm 2.96
11 Pd 0.2502 0.7497 0.0178  2 Er 2.74-2.79, 3 Pd 2.77-3.03, 3 Pm 2.94-2.99
12 Pd 0.2502 0.7503 0.5178  2 Er 2.74-2.79, 3 Pd 2.77-3.03, 3 Pm 2.94-2.99
13 Pd 0.3655 0.1814 0.3640  3 Pd 2.77-3.05, 2 Er 2.85-2.89, 2 Pm 3.03-3.07
14 Pd 0.3655 0.3186 0.8640  3 Pd 2.77-3.05, 2 Er 2.85-2.89, 2 Pm 3.03-3.07
15 Pd 0.6345 0.6814 0.1360  3 Pd 2.77-3.05, 2 Er 2.85-2.89, 2 Pm 3.03-3.07
16 Pd 0.6345 0.8186 0.6360  3 Pd 2.77-3.05, 2 Er 2.85-2.89, 2 Pm 3.03-3.07
17 Pd 0.7498 0.2497 0.4822  2 Er 2.74-2.79, 3 Pd 2.77-3.03, 3 Pm 2.94-2.99
18 Pd 0.7498 0.2503 0.9822  2 Er 2.74-2.79, 3 Pd 2.77-3.03, 3 Pm 2.94-2.99
19 Pd 0.9961 0.5311 0.7491  6 Pd 2.82-3.05, 1 Er 2.94, 1 Pm 2.96
20 Pd 0.9961 0.9689 0.2491  6 Pd 2.82-3.05, 1 Er 2.94, 1 Pm 2.96